1.
Computed, not measured: a geometry-optimized BeTlCl2 structure at the PBE level of DFT.

## Properties
Theoretical density   4.41 Mg/m³
Raw total energy   -12.76 eV/f.u.
Magnetic moment   0.00 μB/f.u.
Raw formation energy   -0.744 eV/atom

Cell lengths 5.787, 3.416, 5.881 Å; angles 90.00, 112.79, 90.00 degrees
Positions (direct):
1 Be 0.000 0.000 0.000
2 Tl 0.401 0.500 0.378
3 Cl 0.098 0.000 0.727
4 Cl 0.808 0.500 0.034

2.
Computed, not measured: a geometry-optimized Li2PmSmSn2 structure at the PBE level of DFT.

## Properties
Theoretical density   6.13 Mg/m³
Energy relative to the elements   -662 meV/atom
Raw total energy   -25.27 eV/f.u.
Magnetic moment   0.00 μB/f.u.

Cell lengths 4.754, 4.754, 7.571 Å; angles 90.00, 90.00, 120.00 degrees
Positions (direct):
1 Li 0.333 0.667 0.255
2 Li 0.667 0.333 0.745
3 Pm 0.000 0.000 0.000
4 Sm 0.000 0.000 0.500
5 Sn 0.333 0.667 0.748
6 Sn 0.667 0.333 0.252

3.
Computed, not measured: a geometry-optimized YAlSe3 structure at the PBE level of DFT.

## Properties
Theoretical density   4.19 Mg/m³
Raw total energy   -27.34 eV/f.u.
Magnetic moment   0.00 μB/f.u.
Raw formation energy   -1.336 eV/atom

Cell lengths 10.191, 10.191, 7.195 Å; angles 95.41, 95.41, 22.08 degrees
Positions (direct):
1 Y 0.000 0.000 0.000
2 Y 0.170 0.170 0.391
3 Al 0.485 0.485 0.563
4 Al 0.806 0.806 0.299
5 Se 0.067 0.067 0.659
6 Se 0.267 0.267 0.116
7 Se 0.416 0.416 0.822
8 Se 0.587 0.587 0.183
9 Se 0.750 0.750 0.580
10 Se 0.929 0.929 0.350

4.
Computed, not measured: a geometry-optimized Li5CdIn2Hg2 structure at the PBE level of DFT.

## Properties
Theoretical density   6.37 Mg/m³
Energy relative to the elements   -234 meV/atom
Raw total energy   -18.90 eV/f.u.
Magnetic moment   0.00 μB/f.u.

Cell lengths 10.933, 10.933, 3.395 Å; angles 90.00, 90.00, 90.00 degrees
Positions (direct):
1 Li 0.000 0.500 0.000
2 Li 0.029 0.202 0.000
3 Li 0.202 0.971 0.000
4 Li 0.298 0.471 0.000
5 Li 0.471 0.702 0.000
6 Li 0.500 0.000 0.000
7 Li 0.529 0.298 0.000
8 Li 0.702 0.529 0.000
9 Li 0.798 0.029 0.000
10 Li 0.971 0.798 0.000
11 Cd 0.000 0.000 0.500
12 Cd 0.500 0.500 0.500
13 In 0.171 0.671 0.500
14 In 0.329 0.171 0.500
15 In 0.671 0.829 0.500
16 In 0.829 0.329 0.500
17 Hg 0.136 0.364 0.500
18 Hg 0.364 0.864 0.500
19 Hg 0.636 0.136 0.500
20 Hg 0.864 0.636 0.500

5.
Computed, not measured: a geometry-optimized KNa3Fe structure at the PBE level of DFT.

## Properties
Theoretical density   1.20 Mg/m³
Energy relative to the elements   1182 meV/atom
Raw total energy   -7.61 eV/f.u.
Magnetic moment   3.13 μB/f.u.

Cell lengths 6.092, 6.092, 6.092 Å; angles 90.00, 90.00, 90.00 degrees
Positions (direct):
1 K 0.000 0.000 0.000
2 Na 0.000 0.000 0.500
3 Na 0.000 0.500 0.000
4 Na 0.500 0.000 0.000
5 Fe 0.500 0.500 0.500

6.
Computed, not measured: a geometry-optimized Cs2KInBr6 structure at the PBE level of DFT.

## Properties
Theoretical density   3.69 Mg/m³
Raw total energy   -29.77 eV/f.u.
Magnetic moment   0.00 μB/f.u.
Raw formation energy   -1.419 eV/atom

Cell lengths 8.302, 8.302, 8.302 Å; angles 60.00, 60.00, 60.00 degrees
Positions (direct):
1 Cs 0.250 0.250 0.250
2 Cs 0.750 0.750 0.750
3 K 0.000 0.000 0.000
4 In 0.500 0.500 0.500
5 Br 0.269 0.269 0.731
6 Br 0.269 0.731 0.269
7 Br 0.269 0.731 0.731
8 Br 0.731 0.269 0.269
9 Br 0.731 0.269 0.731
10 Br 0.731 0.731 0.269

7.
Computed, not measured: a geometry-optimized NpUTa2C4 structure at the PBE level of DFT.

## Properties
Theoretical density   14.06 Mg/m³
Energy relative to the elements   -186 meV/atom
Raw total energy   -86.32 eV/f.u.
Magnetic moment   3.49 μB/f.u.

Cell lengths 6.585, 6.585, 10.282 Å; angles 90.00, 90.00, 152.03 degrees
Positions (direct):
1 Np 0.029 0.971 0.750
2 Np 0.971 0.029 0.250
3 U 0.250 0.750 0.250
4 U 0.750 0.250 0.750
5 Ta 0.380 0.620 0.525
6 Ta 0.380 0.620 0.975
7 Ta 0.620 0.380 0.025
8 Ta 0.620 0.380 0.475
9 C 0.000 0.000 0.000
10 C 0.000 0.000 0.500
11 C 0.195 0.805 0.598
12 C 0.195 0.805 0.902
13 C 0.397 0.603 0.750
14 C 0.603 0.397 0.250
15 C 0.805 0.195 0.098
16 C 0.805 0.195 0.402

8.
Computed, not measured: a geometry-optimized La2DyHoS6 structure at the PBE level of DFT.

## Properties
Theoretical density   4.87 Mg/m³
Raw total energy   -64.88 eV/f.u.
Magnetic moment   0.00 μB/f.u.
Raw formation energy   -2.109 eV/atom

Cell lengths 7.416, 7.416, 7.416 Å; angles 57.49, 57.49, 57.49 degrees
Positions (direct):
1 La 0.000 0.000 0.000
2 La 0.500 0.500 0.500
3 Dy 0.290 0.290 0.290
4 Ho 0.791 0.791 0.791
5 S 0.078 0.419 0.667
6 S 0.166 0.918 0.580
7 S 0.419 0.667 0.078
8 S 0.580 0.166 0.918
9 S 0.667 0.078 0.419
10 S 0.918 0.580 0.166